# 1
Density functional theory data (PBE) for a relaxed structure of Mg7Ag5Sn.

## Properties
As for the formation energy from the elements: -0.1357 eV/atom.

Cell and atoms, written as POSCAR:
```
Mg7Ag5Sn
1.0
-4.973 2.576 -0.751
-5.726 -4.778 0.268
-2.997 2.287 6.440
Mg Ag Sn
7 5 1
direct
0.622 0.378 0.378
0.282 0.718 0.718
0.006 0.328 0.660
0.006 0.660 0.328
0.269 0.231 0.231
0.522 0.798 0.157
0.522 0.157 0.798
0.515 0.997 0.475
0.013 0.997 0.475
0.515 0.475 0.997
0.013 0.475 0.997
0.762 0.738 0.738
0.953 0.047 0.047
```


# 2
Density functional theory data (PBE) for a relaxed structure of Ac2SmRu.

## Properties
As for the formation energy from the elements: 0.0456 eV/atom.

Cell and atoms, written as POSCAR:
```
Ac2SmRu
1.0
4.085 0.000 0.000
2.043 3.538 0.000
2.043 1.179 9.726
Ru Ac Sm
1 2 1
direct
0.000 0.000 0.000
0.275 0.275 0.174
0.725 0.725 0.826
0.500 0.500 0.500
```


# 3
Density functional theory data (PBE) for a relaxed structure of MgPW2.

## Properties
As for the formation energy from the elements: 0.4291 eV/atom.

Cell and atoms, written as POSCAR:
```
MgPW2
1.0
-0.616 1.113 3.010
1.279 -3.849 1.685
4.043 1.468 0.285
Mg P W
1 1 2
direct
0.500 0.000 0.500
0.000 0.500 0.500
0.000 0.000 0.000
0.500 0.500 0.000
```


# 4
Density functional theory data (PBE) for a relaxed structure of In3SbAs.

## Properties
Its formation energy from raw total energies is 272 meV/atom.

Cell and atoms, written as POSCAR:
```
In3SbAs
1.0
-2.860 4.021 -2.120
-1.064 -3.027 -4.306
-4.419 -1.874 2.409
Sb As In
1 1 3
direct
0.500 0.500 0.500
0.000 0.000 0.000
0.000 0.500 0.000
0.000 0.000 0.500
0.500 0.000 0.000
```


# 5
Density functional theory data (PBE) for a relaxed structure of Nd6P3Se2.

## Properties
Its formation energy from raw total energies is -1563 meV/atom.

Cell and atoms, written as POSCAR:
```
Nd6P3Se2
1.0
-3.535 2.099 -5.917
0.229 -4.032 -5.954
-6.764 -2.737 0.135
Nd P Se
6 3 2
direct
0.411 0.663 0.765
0.748 0.000 0.771
0.075 0.337 0.765
0.252 0.000 0.229
0.589 0.337 0.235
0.925 0.663 0.235
0.000 0.000 0.000
0.331 0.338 0.000
0.669 0.662 0.000
0.166 0.668 0.500
0.834 0.332 0.500
```


# 6
Density functional theory data (PBE) for a relaxed structure of Ag2P.

## Properties
As for the formation energy from the elements: 0.3710 eV/atom.

Cell and atoms, written as POSCAR:
```
Ag2P
1.0
-2.048 -1.059 2.937
-0.362 -1.773 -3.265
6.750 -6.037 2.529
Ag P
4 2
direct
0.333 0.667 0.403
0.667 0.333 0.903
0.667 0.333 0.597
0.333 0.667 0.097
0.000 0.000 0.250
0.000 0.000 0.750
```


Number 1: energy -2.3989 eV/atom. Number 2: energy -5.5074 eV/atom. Number 3: energy -7.7986 eV/atom. Number 4: energy -3.1257 eV/atom. Number 5: energy -6.2722 eV/atom. Number 6: energy -3.3331 eV/atom.